Density functional theory data (PBE+U) for Na5Mo2F12 after structural relaxation.

Output
- total magnetic moment (μB per formula unit) = 5.00
- E_tot (eV per atom) = -4.80
- theoretical density (g/cm³) = 3.06
- D(E_F) (states/eV/f.u.) = 3.4

Cell and atoms, written as extended XYZ:
```
19
Lattice="6.439 0.000 0.000 -3.220 4.834 -3.229 0.000 0.243 9.155" Properties=species:S:1:pos:R:3 pbc="T T T"
F 3.220 0.512 7.849
F 3.220 4.565 -1.923
F 0.000 4.565 -1.922
Na 0.000 3.899 0.501
Mo 4.844 0.000 0.000
F 1.617 3.113 5.605
F 4.719 1.063 3.521
Na 0.000 2.675 3.387
Na 3.220 2.402 2.540
F -1.499 4.014 2.406
F 4.837 1.965 0.322
Na 3.220 1.179 5.426
Na 0.000 0.122 4.578
F 1.602 1.965 0.322
F 1.721 1.063 3.521
F 0.000 0.513 7.849
Mo 1.596 0.000 0.000
F 1.499 4.014 2.406
F -1.617 3.113 5.605
```